A geometry-optimized TbGdCd2 structure, computed with PBE.

POSCAR file:
```
TbGdCd2
1.0
5.323 0.000 0.000
2.661 4.610 0.000
2.661 1.537 4.346
Cd Tb Gd
2 1 1
direct
0.250 0.250 0.250 Cd
0.750 0.750 0.750 Cd
0.500 0.500 0.500 Tb
0.000 0.000 0.000 Gd
```

Calculated values
crystal system = cubic
calculated formation energy = -7.82 kcal/mol of atoms
distance to the lowest polymorph of the same formula = 0.000 eV/atom



A geometry-optimized TbGdCd2 structure, computed with PBE.

POSCAR file:
```
TbGdCd2
1.0
-0.929 -1.560 -3.328
1.672 -4.721 1.747
-4.864 -1.040 1.845
Cd Tb Gd
2 1 1
direct
0.000 0.000 0.500 Cd
0.000 0.500 0.000 Cd
0.500 0.500 0.500 Tb
0.500 0.000 0.000 Gd
```

Calculated values
crystal system = tetragonal
calculated formation energy = -7.78 kcal/mol of atoms
distance to the lowest polymorph of the same formula = 0.002 eV/atom



A geometry-optimized TbGdCdTc structure, computed with PBE.

POSCAR file:
```
TbGdCdTc
1.0
-0.531 1.245 4.889
-2.385 -3.155 3.176
2.630 -2.491 3.552
Tb Cd Tc Gd
1 1 1 1
direct
0.250 0.250 0.250 Tb
0.500 0.500 0.500 Cd
0.000 0.000 0.000 Tc
0.750 0.750 0.750 Gd
```

Calculated values
crystal system = cubic
calculated formation energy = -1.68 kcal/mol of atoms



A geometry-optimized TbGdTmCd structure, computed with PBE.

POSCAR file:
```
TbGdTmCd
1.0
-1.215 4.239 3.188
-4.704 0.088 2.733
-0.015 -0.581 5.410
Gd Tb Cd Tm
1 1 1 1
direct
0.000 0.000 0.000 Gd
0.500 0.500 0.500 Tb
0.750 0.750 0.750 Cd
0.250 0.250 0.250 Tm
```

Calculated values
crystal system = cubic
calculated formation energy = -1.03 kcal/mol of atoms



A geometry-optimized TbGdZnCd structure, computed with PBE.

POSCAR file:
```
TbGdZnCd
1.0
5.217 0.000 0.000
2.609 4.518 0.000
2.609 1.506 4.260
Zn Gd Cd Tb
1 1 1 1
direct
0.250 0.250 0.250 Zn
0.500 0.500 0.500 Gd
0.750 0.750 0.750 Cd
0.000 0.000 0.000 Tb
```

Calculated values
crystal system = cubic
calculated formation energy = -7.42 kcal/mol of atoms



A geometry-optimized Gd2CdTc structure, computed with PBE.

POSCAR file:
```
Gd2CdTc
1.0
-2.710 -0.552 2.164
-0.254 -3.304 -1.161
4.913 -2.329 5.556
Gd Tc Cd
2 1 1
direct
0.000 0.000 0.213 Gd
0.000 0.000 0.787 Gd
0.500 0.500 0.000 Tc
0.500 0.500 0.500 Cd
```

Calculated values
crystal system = tetragonal
calculated formation energy = -3.66 kcal/mol of atoms



> The highest calculated formation energy belongs to which entry?

TbGdTmCd



> Among the records above, which one has the highest calculated formation energy?

TbGdTmCd



> Among the records above, which one has the lowest calculated formation energy?

number 1



Please write out number 2 again, unchanged.
A geometry-optimized TbGdCd2 structure, computed with PBE.

POSCAR file:
```
TbGdCd2
1.0
-0.929 -1.560 -3.328
1.672 -4.721 1.747
-4.864 -1.040 1.845
Cd Tb Gd
2 1 1
direct
0.000 0.000 0.500 Cd
0.000 0.500 0.000 Cd
0.500 0.500 0.500 Tb
0.500 0.000 0.000 Gd
```

Calculated values
crystal system = tetragonal
calculated formation energy = -7.78 kcal/mol of atoms
distance to the lowest polymorph of the same formula = 0.002 eV/atom